Entry 1:
TlCd2, single point on PBEsol structure, DFT meta-GGA SCAN; ΔE_f = 0.0797 eV per atom; space-group type = Cm
1.0
12.742 0.000 0.000
0.000 3.134 0.000
-2.031 0.000 7.117
Tl Cd
4 8
Direct
0.000 0.000 0.000 Tl
0.164 0.500 0.356 Tl
0.500 0.500 0.000 Tl
0.664 0.000 0.356 Tl
0.148 0.500 0.782 Cd
0.305 0.000 0.118 Cd
0.332 0.000 0.684 Cd
0.459 0.500 0.462 Cd
0.648 0.000 0.782 Cd
0.805 0.500 0.118 Cd
0.832 0.500 0.684 Cd
0.959 0.000 0.462 Cd

---

Entry 2:
CuRePb, single point on PBEsol structure, DFT meta-GGA SCAN; distance to the lowest polymorph of the same formula = 0.000 eV per atom; ΔE_f = 0.9407 eV per atom; space-group type = Fmm2
1.0
4.055 0.000 0.000
0.000 4.110 0.000
0.000 0.000 13.057
Cu Re Pb
4 4 4
Direct
0.000 0.000 0.000 Cu
0.000 0.500 0.500 Cu
0.500 0.000 0.500 Cu
0.500 0.500 0.000 Cu
0.000 0.000 0.619 Re
0.000 0.500 0.119 Re
0.500 0.000 0.119 Re
0.500 0.500 0.619 Re
0.000 0.000 0.298 Pb
0.000 0.500 0.798 Pb
0.500 0.000 0.798 Pb
0.500 0.500 0.298 Pb

---

Entry 3:
Mg2MnBr, single point on PBEsol structure, DFT meta-GGA SCAN; distance to the lowest polymorph of the same formula = 0.205 eV per atom; space-group type = Cm; energy relative to the elements, uncorrected = -0.12 eV per atom
1.0
10.730 0.000 0.000
0.000 3.220 0.000
-1.909 0.000 4.784
Mg Mn Br
4 2 2
Direct
0.000 0.000 0.000 Mg
0.214 0.000 0.642 Mg
0.500 0.500 0.000 Mg
0.714 0.500 0.642 Mg
0.240 0.500 0.125 Mn
0.740 0.000 0.125 Mn
0.427 0.000 0.457 Br
0.927 0.500 0.457 Br

---

Entry 4:
Hg2SbPt, single point on PBEsol structure, DFT meta-GGA SCAN; space-group type = Pmm2; energy relative to the elements, uncorrected = 0.00 eV per atom
1.0
2.968 0.000 0.000
0.000 3.498 0.000
0.000 0.000 8.368
Hg Sb Pt
2 1 1
Direct
0.000 0.000 0.000 Hg
0.500 0.500 0.268 Hg
0.500 0.500 0.679 Sb
0.000 0.000 0.495 Pt

---

Entry 5:
CaTiCN2, single point on PBEsol structure, DFT meta-GGA SCAN; space-group type = P4/mmm; energy relative to the elements, uncorrected = 1.03 eV per atom
1.0
3.750 0.000 0.000
0.000 3.750 0.000
0.000 0.000 7.761
Ca Ti C N
1 1 1 2
Direct
0.000 0.000 0.000 Ca
0.000 0.000 0.500 Ti
0.500 0.500 0.000 C
0.000 0.500 0.500 N
0.500 0.000 0.500 N

---

Entry 6:
Tb2W3O12, single point on PBEsol structure, DFT meta-GGA SCAN; space-group type = C2/c; energy relative to the elements, uncorrected = -2.83 eV per atom
1.0
3.807 -5.618 0.000
3.807 5.618 0.000
-3.673 0.000 10.671
Tb W O
4 6 24
Direct
0.042 0.289 0.092 Tb
0.289 0.042 0.592 Tb
0.711 0.958 0.408 Tb
0.958 0.711 0.908 Tb
0.134 0.866 0.250 W
0.246 0.462 0.448 W
0.462 0.246 0.948 W
0.538 0.754 0.052 W
0.754 0.538 0.552 W
0.866 0.134 0.750 W
0.078 0.659 0.105 O
0.085 0.181 0.458 O
0.099 0.465 0.298 O
0.128 0.210 0.720 O
0.181 0.085 0.958 O
0.210 0.128 0.220 O
0.227 0.666 0.561 O
0.334 0.773 0.939 O
0.341 0.922 0.395 O
0.399 0.473 0.076 O
0.465 0.099 0.798 O
0.473 0.399 0.576 O
0.527 0.601 0.424 O
0.535 0.901 0.202 O
0.601 0.527 0.924 O
0.659 0.078 0.605 O
0.666 0.227 0.061 O
0.773 0.334 0.439 O
0.790 0.872 0.780 O
0.819 0.915 0.042 O
0.872 0.790 0.280 O
0.901 0.535 0.702 O
0.915 0.819 0.542 O
0.922 0.341 0.895 O

---

Entry 7:
MgReSbC2, single point on PBEsol structure, DFT meta-GGA SCAN; space-group type = P4/mmm; energy relative to the elements, uncorrected = 3.11 eV per atom
1.0
4.202 0.000 0.000
0.000 4.202 0.000
0.000 0.000 5.308
Mg Re Sb C
1 1 1 2
Direct
0.000 0.000 0.000 Mg
0.500 0.500 0.000 Re
0.000 0.000 0.500 Sb
0.000 0.500 0.500 C
0.500 0.000 0.500 C

---

Entry 8:
Ba2FeAg, single point on PBEsol structure, DFT meta-GGA SCAN; distance to the lowest polymorph of the same formula = 0.294 eV per atom; ΔE_f = 0.4635 eV per atom; space-group type = Pmm2
1.0
3.756 0.000 0.000
0.000 5.392 0.000
0.000 0.000 6.422
Ba Fe Ag
2 1 1
Direct
0.000 0.000 0.000 Ba
0.500 0.500 0.499 Ba
0.500 0.500 0.998 Fe
0.000 0.000 0.500 Ag

---

| no. | ρ (g/cm³) | raw total energy (eV/atom) | total moment (Bohr magnetons per cell) |
| --- | --- | --- | --- |
| 1 | 10.03 | -44.32 | 0.0 |
| 2 | 13.95 | -53.09 | 0.0 |
| 3 | 3.69 | -12.04 | 7.7 |
| 4 | 13.72 | -60.94 | 0.0 |
| 5 | 1.95 | -9.85 | 2.3 |
| 6 | 7.72 | -25.03 | 0.0 |
| 7 | 6.31 | -23.60 | 2.2 |
| 8 | 5.60 | -31.69 | 2.5 |